Crystalline Pr5PuSi4 at its relaxed geometry, computed with PBE-GGA.

Lattice parameters (Å, degrees): 9.9782 9.9782 7.9012 113.16 113.16 25.40
With the nearest neighbours (Å) after each atom.
Atoms (fractional coordinates):
Pr  0.0000  0.0000  0.0000  4 Si 3.00
Pr  0.3362  0.3362  0.5823  3 Si 2.91-2.99
Pr  0.3368  0.3368  0.0863  4 Si 2.92-3.24
Pr  0.6632  0.6632  0.9137  4 Si 2.92-3.24
Pr  0.6638  0.6638  0.4177  3 Si 2.91-2.99
Pu  0.0000  0.0000  0.5000  4 Si 2.90
Si  0.1921  0.1921  0.6940  6 Pr 2.99-3.26
Si  0.5005  0.5005  0.2602  2 Pu 2.90, 4 Pr 2.91-3.00
Si  0.4995  0.4995  0.7398  2 Pu 2.90, 4 Pr 2.91-3.00
Si  0.8079  0.8079  0.3060  6 Pr 2.99-3.26

Results
ΔE_f (raw) (eV per atom): -0.315
Fermi-level density of states (states/eV/cell): 14.95
V (A^3/atom): 30.88